Here is SrDyCoO4 after structural relaxation from Alexandria via LeMat-Bulk. Energies are from GGA+U.

Structure (POSCAR):
```
SrDyCoO4
1.0
3.7568 0.0000 0.0000
0.0000 3.7568 0.0000
-1.8784 -1.8784 6.0183
Sr Dy Co O
1 1 1 4
direct
0.6440 0.6440 0.2880
0.3637 0.3637 0.7275
0.0047 0.0047 0.0094
0.9861 0.4861 0.9723
0.4861 0.9861 0.9723
0.8412 0.8412 0.6823
0.1741 0.1741 0.3482
```

Summary:
ρ (g/cm³): 7.293
Calculated volume (Å³/cell): 84.94
Magnetization (Bohr magnetons per cell): 0.00
Polymorph energy (0 for the lowest one) (meV per atom): 0